Here is crystalline MgMn2Be2 at its relaxed geometry from the Alexandria database. Energies are from PBE.

## Properties
The value obtained for the magnetic moment is 0.0 μB/cell. The volume is 115 Å³/cell. The formation energy from the elements comes out at 22 kJ/mol of atoms.

Lattice parameters (Å, degrees): 6.722 6.722 2.536 90.00 90.00 90.00
Space group P4/mbm (No. 127)
Symmetry-distinct sites (fractional):
Mg: 0.000 0.000 0.000 [2 per cell]
Mn: 0.108 0.392 0.000 [4 per cell]
Be: 0.182 0.682 0.500 [4 per cell]